--- i ---
A plane-wave DFT calculation with PBE-GGA was carried out for an optimized crystal structure of LiLaMg14.

Computed properties:
total magnetization: 0.00 μB per formula unit

a = 6.5710 Å, b = 6.5710 Å, c = 10.3713 Å
α = 90.00°, β = 90.00°, γ = 120.00°
Space group P-6m2 (No. 187)
One atom of each set of equivalent atoms:
Li 0.0000 0.0000 0.0000 (multiplicity 1)
La 0.0000 0.0000 0.5000 (multiplicity 1)
Mg 0.0159 0.5080 0.5000 (multiplicity 3)
Mg 0.1677 0.3355 0.2414 (multiplicity 6)
Mg 0.5015 0.0029 0.0000 (multiplicity 3)
Mg 0.6667 0.3333 0.2628 (multiplicity 2)



--- ii ---
A plane-wave DFT calculation with PBE-GGA was carried out for an optimized crystal structure of LiLaMg14.

Computed properties:
total magnetization: 0.00 μB per formula unit

a = 10.410 Å, b = 6.395 Å, c = 11.607 Å
α = 90.00°, β = 90.00°, γ = 90.00°
Space group Amm2 (No. 38)
One atom of each set of equivalent atoms:
Li 0.000 0.000 0.000 (multiplicity 2)
La 0.000 0.000 0.524 (multiplicity 2)
Mg 0.000 0.244 0.774 (multiplicity 4)
Mg 0.232 0.000 0.165 (multiplicity 4)
Mg 0.255 0.250 0.420 (multiplicity 8)
Mg 0.261 0.000 0.677 (multiplicity 4)
Mg 0.500 0.000 0.009 (multiplicity 2)
Mg 0.500 0.000 0.509 (multiplicity 2)
Mg 0.500 0.244 0.258 (multiplicity 4)



It turns out i is the most stable, with the second structure 15 meV/atom higher.



--- i ---
A plane-wave DFT calculation with PBE-GGA was carried out for an optimized crystal structure of LiLaMgNi.

Computed properties:
total magnetization: 0.00 μB per formula unit

a = 6.891 Å, b = 6.891 Å, c = 6.891 Å
α = 90.00°, β = 90.00°, γ = 90.00°
Space group F-43m (No. 216)
One atom of each set of equivalent atoms:
Li 0.000 0.000 0.000 (multiplicity 4)
La 0.250 0.250 0.250 (multiplicity 4)
Mg 0.250 0.250 0.750 (multiplicity 4)
Ni 0.000 0.000 0.500 (multiplicity 4)



--- ii ---
A plane-wave DFT calculation with PBE-GGA was carried out for an optimized crystal structure of LiLaMgNi.

Computed properties:
total magnetization: 0.00 μB per formula unit

a = 3.312 Å, b = 3.312 Å, c = 8.040 Å
α = 90.00°, β = 90.00°, γ = 90.00°
Space group P4mm (No. 99)
One atom of each set of equivalent atoms:
Li 0.000 0.000 0.000 (multiplicity 1)
La 0.500 0.500 0.353 (multiplicity 1)
Mg 0.500 0.500 0.754 (multiplicity 1)
Ni 0.000 0.000 0.575 (multiplicity 1)



It turns out i is the most stable, with the second structure 13 meV/atom higher.